# Ac3ZnAg6Hg2 (GGA-PBE, optimized geometry)
# N(E_F) = 6.85 states/eV/cell
# calculated formation energy = -0.17 eV per atom
# total magnetization = 0.00 μB per cell
# electronic total energy = -2.78 eV per atom
data_Ac3ZnAg6Hg2
_cell_length_a 6.2215
_cell_length_b 6.2215
_cell_length_c 9.2376
_cell_angle_alpha 90.00
_cell_angle_beta 90.00
_cell_angle_gamma 120.00
_space_group_name_H-M_alt 'P -3 m 1'
_space_group_IT_number 164
_space_group_name_Hall '-P 3 2"'
loop_
_atom_site_label
_atom_site_type_symbol
_atom_site_fract_x
_atom_site_fract_y
_atom_site_fract_z
Ac1 Ac 0.0000 0.0000 0.0000
Ac2 Ac 0.3333 0.6667 0.6074
Zn1 Zn 0.0000 0.0000 0.5000
Ag1 Ag 0.1782 0.3564 0.2816
Hg1 Hg 0.3333 0.6667 0.9872